Computed, not measured: a geometry-optimized TbHoAl2Ir4 structure at the PBE level of DFT.

For the energy, the calculation gives -7.22 eV/atom.

It has space group P-6m2 (No. 187), with a = 4.2962 Å, b = 4.2962 Å, c = 9.1481 Å, α = 90.00°, β = 90.00° and γ = 120.00°. Symmetry generates all atoms from Tb at (0.0000, 0.0000, 0.0000), Ho at (0.6667, 0.3333, 0.5000), Al at (0.3333, 0.6667, 0.2510), Ir at (0.0000, 0.0000, 0.3358) and Ir at (0.6667, 0.3333, 0.1686).